No. 1
Below is ScHg2B2O6 after structural relaxation, with properties calculated at the PBE level.

* formation energy from raw total energies: -1.90 eV per atom

a = 5.2939 Å, b = 5.3672 Å, c = 7.4247 Å
α = 123.91°, β = 90.00°, γ = 119.55°
Positions (direct):
Sc 0.5000 0.0000 0.5000
Hg 0.6834 0.3669 0.1117
Hg 0.3166 0.6331 0.8883
B 0.9430 0.8860 0.7190
B 0.0570 0.1140 0.2810
O 0.7902 0.5805 0.7039
O 0.1894 0.9359 0.2677
O 0.2535 0.0641 0.7323
O 0.8106 0.0641 0.7323
O 0.7465 0.9359 0.2677
O 0.2098 0.4195 0.2961

No. 2
Below is CsSbRhPb after structural relaxation, with properties calculated at the PBE level.

* formation energy from raw total energies: -0.29 eV per atom

a = 4.3892 Å, b = 4.3892 Å, c = 14.6108 Å
α = 90.00°, β = 90.00°, γ = 90.00°
Positions (direct):
Cs 0.7500 0.7500 0.2521
Cs 0.2500 0.2500 0.7479
Sb 0.7500 0.7500 0.9024
Sb 0.2500 0.2500 0.0976
Rh 0.7500 0.2500 0.0000
Rh 0.2500 0.7500 0.0000
Pb 0.2500 0.7500 0.5000
Pb 0.7500 0.2500 0.5000

No. 3
Below is Sb2TePb after structural relaxation, with properties calculated at the PBE level.

* ΔE to the lowest computed polymorph: 221.0 meV per atom
* formation energy from raw total energies: 0.08 eV per atom

a = 6.3817 Å, b = 6.3817 Å, c = 6.3817 Å
α = 143.04°, β = 128.79°, γ = 64.82°
Positions (direct):
Pb 0.7397 0.2397 0.5000
Sb 0.0370 0.0370 0.0000
Sb 0.2434 0.7434 0.5000
Te 0.4798 0.4798 0.0000

No. 4
Below is Sr2InBr6 after structural relaxation, with properties calculated at the PBE level.

* formation energy from raw total energies: -1.59 eV per atom

a = 7.0692 Å, b = 7.0692 Å, c = 13.8960 Å
α = 90.00°, β = 90.00°, γ = 90.00°
Positions (direct):
Sr 0.0000 0.0000 0.3331
Sr 0.5000 0.5000 0.8331
Sr 0.5000 0.5000 0.1669
Sr 0.0000 0.0000 0.6669
In 0.0000 0.0000 0.0000
In 0.5000 0.5000 0.5000
Br 0.3072 0.3072 0.3390
Br 0.6928 0.6928 0.3390
Br 0.1928 0.8072 0.8390
Br 0.8072 0.1928 0.8390
Br 0.1928 0.8072 0.1610
Br 0.8072 0.1928 0.1610
Br 0.3072 0.3072 0.6610
Br 0.6928 0.6928 0.6610
Br 0.2974 0.2974 0.0000
Br 0.7026 0.7026 0.0000
Br 0.2026 0.7974 0.5000
Br 0.7974 0.2026 0.5000

No. 5
Below is Tm2PaAl2Ru5 after structural relaxation, with properties calculated at the PBE level.

* calculated formation energy: -0.596 eV/atom

a = 3.4163 Å, b = 10.0929 Å, c = 10.0929 Å
α = 90.00°, β = 90.00°, γ = 90.00°
Positions (direct):
Tm 0.0000 0.6696 0.1696
Tm 0.0000 0.3304 0.8304
Tm 0.0000 0.1696 0.3304
Tm 0.0000 0.8304 0.6696
Pa 0.0000 0.0000 0.0000
Pa 0.0000 0.5000 0.5000
Al 0.0000 0.1262 0.6262
Al 0.0000 0.8738 0.3738
Al 0.0000 0.6262 0.8738
Al 0.0000 0.3738 0.1262
Ru 0.5000 0.2023 0.0711
Ru 0.5000 0.7977 0.9289
Ru 0.5000 0.0711 0.7977
Ru 0.5000 0.7023 0.4289
Ru 0.5000 0.9289 0.2023
Ru 0.5000 0.2977 0.5711
Ru 0.5000 0.5711 0.7023
Ru 0.5000 0.4289 0.2977
Ru 0.5000 0.5000 0.0000
Ru 0.5000 0.0000 0.5000

No. 6
Below is ScPaTiV after structural relaxation, with properties calculated at the PBE level.

* calculated formation energy: 0.162 eV/atom

a = 4.7877 Å, b = 4.7877 Å, c = 4.7877 Å
α = 60.00°, β = 60.00°, γ = 60.00°
Each line ends with the local moment (μB).
Positions (direct):
Sc 0.0000 0.0000 0.0000  0.00
Pa 0.5000 0.5000 0.5000  0.10
Ti 0.7500 0.7500 0.7500  -0.10
V 0.2500 0.2500 0.2500  1.06

No. 7
Below is AcDy2NpO8 after structural relaxation, with properties calculated at the PBE level.

* formation energy from raw total energies: -3.15 eV per atom

a = 4.0270 Å, b = 5.4764 Å, c = 7.5984 Å
α = 90.00°, β = 90.00°, γ = 94.68°
Positions (direct):
Ac 0.0000 0.0000 0.5000
Dy 0.5000 0.4999 0.7462
Dy 0.5000 0.5001 0.2538
Np 0.0000 0.0000 0.0000
O 0.0335 0.7573 0.2102
O 0.5544 0.7776 0.0000
O 0.9664 0.2425 0.2101
O 0.9665 0.2427 0.7898
O 0.4456 0.2224 0.0000
O 0.0336 0.7575 0.7899
O 0.4852 0.7311 0.5000
O 0.5148 0.2689 0.5000

No. 8
Below is Rb2YBr6N after structural relaxation, with properties calculated at the PBE level.

* formation energy from raw total energies: -0.89 eV per atom

a = 7.2630 Å, b = 7.2630 Å, c = 8.1932 Å
α = 63.69°, β = 63.69°, γ = 90.00°
Positions (direct):
Y 0.0000 0.0000 0.0000
Br 0.2186 0.2186 0.5628
Br 0.7814 0.7814 0.4372
Br 0.2728 0.2728 0.0000
Br 0.7272 0.7272 0.0000
Br 0.7272 0.2728 0.0000
Br 0.2728 0.7272 0.0000
Rb 0.7500 0.2500 0.5000
Rb 0.2500 0.7500 0.5000
N 0.5000 0.5000 0.0000

No. 9
Below is SrHoMgAl after structural relaxation, with properties calculated at the PBE level.

* calculated formation energy: -0.100 eV/atom

a = 5.4317 Å, b = 5.4317 Å, c = 5.4317 Å
α = 60.00°, β = 60.00°, γ = 60.00°
Positions (direct):
Sr 0.2500 0.2500 0.2500
Mg 0.5000 0.5000 0.5000
Ho 0.7500 0.7500 0.7500
Al 0.0000 0.0000 0.0000

No. 10
Below is Zn2GaP after structural relaxation, with properties calculated at the PBE level.

* ΔE to the lowest computed polymorph: 89.4 meV per atom
* calculated formation energy: 0.246 eV/atom

a = 4.5768 Å, b = 4.5768 Å, c = 4.5768 Å
α = 60.00°, β = 60.00°, γ = 60.00°
Positions (direct):
P 0.0000 0.0000 0.0000
Zn 0.2500 0.2500 0.2500
Zn 0.7500 0.7500 0.7500
Ga 0.5000 0.5000 0.5000

No. 11
Below is Rb2MgSeI6 after structural relaxation, with properties calculated at the PBE level.

* formation energy from raw total energies: -0.80 eV per atom

a = 8.3549 Å, b = 8.3549 Å, c = 8.7362 Å
α = 61.43°, β = 61.43°, γ = 90.00°
Positions (direct):
I 0.2887 0.2887 0.4227
I 0.7113 0.7113 0.5773
I 0.2374 0.2374 0.0000
I 0.7626 0.7626 0.0000
I 0.7626 0.2374 0.0000
I 0.2374 0.7626 0.0000
Mg 0.5000 0.5000 0.0000
Se 0.0000 0.0000 0.0000
Rb 0.7500 0.2500 0.5000
Rb 0.2500 0.7500 0.5000

No. 12
Below is Sr2SmPuO6 after structural relaxation, with properties calculated at the PBE level.

* formation energy from raw total energies: -3.05 eV per atom

a = 6.0094 Å, b = 6.1641 Å, c = 8.5914 Å
α = 90.00°, β = 90.13°, γ = 90.00°
Each line ends with the local moment (μB).
Positions (direct):
Sr 0.0121 0.9543 0.2511  0.00
Sr 0.5121 0.5457 0.7511  0.00
Sr 0.9879 0.0457 0.7489  0.00
Sr 0.4879 0.4543 0.2489  0.00
Sm 0.5000 0.0000 0.0000  0.00
Sm 0.0000 0.5000 0.5000  0.00
Pu 0.5000 0.0000 0.5000  3.34
Pu 0.0000 0.5000 0.0000  3.34
O 0.2863 0.6925 0.0521  -0.06
O 0.7863 0.8075 0.5521  -0.06
O 0.7137 0.3075 0.9479  -0.06
O 0.2137 0.1925 0.4479  -0.06
O 0.3089 0.7141 0.4409  -0.06
O 0.8089 0.7859 0.9409  -0.06
O 0.6911 0.2859 0.5591  -0.06
O 0.1911 0.2141 0.0591  -0.06
O 0.8963 0.5422 0.2388  -0.06
O 0.3963 0.9578 0.7388  -0.06
O 0.1037 0.4578 0.7612  -0.06
O 0.6037 0.0422 0.2612  -0.06

No. 13
Below is Ac4GaS3 after structural relaxation, with properties calculated at the PBE level.

* formation energy from raw total energies: -1.64 eV per atom

a = 6.2139 Å, b = 6.2139 Å, c = 6.2139 Å
α = 90.00°, β = 90.00°, γ = 90.00°
Positions (direct):
Ac 0.5000 0.0000 0.0000
Ac 0.0000 0.5000 0.0000
Ac 0.0000 0.0000 0.5000
Ac 0.5000 0.5000 0.5000
S 0.0000 0.5000 0.5000
S 0.5000 0.0000 0.5000
S 0.5000 0.5000 0.0000
Ga 0.0000 0.0000 0.0000

No. 14
Below is Zr2SbTe after structural relaxation, with properties calculated at the PBE level.

* ΔE to the lowest computed polymorph: 104.7 meV per atom
* formation energy from raw total energies: -0.65 eV per atom

a = 5.0471 Å, b = 5.0471 Å, c = 5.0471 Å
α = 60.00°, β = 60.00°, γ = 60.00°
Positions (direct):
Sb 0.0000 0.0000 0.0000
Te 0.5000 0.5000 0.5000
Zr 0.2500 0.2500 0.2500
Zr 0.7500 0.7500 0.7500

No. 15
Below is Os5Br4 after structural relaxation, with properties calculated at the PBE level.

* ΔE to the lowest computed polymorph: 0.0 meV per atom
* formation energy from raw total energies: 1.31 eV per atom

a = 7.5377 Å, b = 7.5377 Å, c = 7.5377 Å
α = 92.08°, β = 92.08°, γ = 158.01°
Positions (direct):
Os 0.0000 0.0000 0.0000
Os 0.6655 0.3345 0.0000
Os 0.3345 0.6655 0.0000
Os 0.3345 0.3345 0.6689
Os 0.6655 0.6655 0.3311
Br 0.7047 0.0000 0.7047
Br 0.2953 0.0000 0.2953
Br 0.0000 0.2953 0.2953
Br 0.0000 0.7047 0.7047

No. 16
Below is PrSnPt after structural relaxation, with properties calculated at the PBE level.

* calculated formation energy: -0.973 eV/atom

a = 3.7847 Å, b = 4.7239 Å, c = 4.7239 Å
α = 120.00°, β = 90.00°, γ = 90.00°
Positions (direct):
Pr 0.6667 0.6667 0.3333
Sn 0.1666 0.3333 0.6667
Pt 0.1667 0.0000 0.0000

No. 17
Below is ScNb2AlCu after structural relaxation, with properties calculated at the PBE level.

* calculated formation energy: 1.535 eV/atom

a = 4.6815 Å, b = 4.9942 Å, c = 4.6815 Å
α = 90.00°, β = 90.00°, γ = 90.00°
Positions (direct):
Sc 0.0000 0.0000 0.0000
Nb 0.0000 0.0000 0.5000
Nb 0.5000 0.0000 0.0000
Al 0.0000 0.5000 0.0000
Cu 0.5000 0.5000 0.5000

No. 18
Below is Nd4S3N after structural relaxation, with properties calculated at the PBE level.

* ΔE to the lowest computed polymorph: 0.0 meV per atom
* formation energy from raw total energies: -1.84 eV per atom

a = 3.9167 Å, b = 6.9277 Å, c = 6.9277 Å
α = 108.71°, β = 90.00°, γ = 90.00°
Positions (direct):
S 0.0000 0.0000 0.5000
S 0.5000 0.5000 0.5000
S 0.0000 0.5000 0.0000
Nd 0.0000 0.2189 0.2189
Nd 0.5000 0.7697 0.2303
Nd 0.0000 0.7811 0.7811
Nd 0.5000 0.2303 0.7697
N 0.5000 0.0000 0.0000

No. 19
Below is Mn2SbAu after structural relaxation, with properties calculated at the PBE level.

* formation energy from raw total energies: 0.35 eV per atom

a = 4.6220 Å, b = 4.6220 Å, c = 4.6220 Å
α = 60.00°, β = 60.00°, γ = 60.00°
Each line ends with the local moment (μB).
Positions (direct):
Au 0.5000 0.5000 0.5000  0.05
Mn 0.0000 0.0000 0.0000  2.96
Mn 0.2500 0.2500 0.2500  3.52
Sb 0.7500 0.7500 0.7500  -0.04

No. 20
Below is Rb2Li2Ca after structural relaxation, with properties calculated at the PBE level.

* ΔE to the lowest computed polymorph: 72.1 meV per atom
* calculated formation energy: 0.308 eV/atom

a = 10.9841 Å, b = 10.9841 Å, c = 3.9782 Å
α = 90.00°, β = 90.00°, γ = 90.00°
Positions (direct):
Ca 0.0000 0.0000 0.0000
Ca 0.5000 0.5000 0.0000
Rb 0.3667 0.8667 0.0000
Rb 0.8667 0.6333 0.0000
Rb 0.6333 0.1333 0.0000
Rb 0.1333 0.3667 0.0000
Li 0.1722 0.6722 0.5000
Li 0.6722 0.8278 0.5000
Li 0.8278 0.3278 0.5000
Li 0.3278 0.1722 0.5000